No. 1
The following is a PBE-GGA calculation of a relaxed structure of MgZnCr2, from Alexandria.

Cell: 3.317 3.317 5.518 Å, 90.00 90.00 90.00°
Positions (direct):
Mg 0.000 0.000 0.000
Zn 0.000 0.000 0.500
Cr 0.500 0.500 0.322
Cr 0.500 0.500 0.678

## Properties
Its density of states at the Fermi level is 0.959 states/eV/atom. For the formation energy, the calculation gives 458.7 meV/atom. As for the raw total energy: -20.28 eV per formula unit.

---

No. 2
The following is a PBE-GGA calculation of a relaxed structure of MgZnCr2, from Alexandria.

Cell: 2.646 3.881 5.592 Å, 90.00 101.54 90.00°
Positions (direct):
Mg 0.000 0.000 0.000
Zn 0.569 0.500 0.267
Cr 0.124 0.000 0.530
Cr 0.463 0.500 0.712

## Properties
Its density of states at the Fermi level is 0.636 states/eV/atom. For the formation energy, the calculation gives 295.5 meV/atom. As for the raw total energy: -20.93 eV per formula unit.

---

No. 3
The following is a PBE-GGA calculation of a relaxed structure of MgZnCr, from Alexandria.

Cell: 4.397 4.397 4.397 Å, 60.00 60.00 60.00°
Positions (direct):
Mg 0.000 0.000 0.000
Zn 0.750 0.750 0.750
Cr 0.500 0.500 0.500

## Properties
Its density of states at the Fermi level is 0.561 states/eV/atom. For the formation energy, the calculation gives 486.8 meV/atom. As for the raw total energy: -11.03 eV per formula unit.

---

No. 4
The following is a PBE-GGA calculation of a relaxed structure of MgZn2Cr, from Alexandria.

Cell: 9.309 9.309 9.309 Å, 17.08 17.08 17.08°
Positions (direct):
Mg 0.000 0.000 0.000
Zn 0.509 0.509 0.509
Zn 0.758 0.758 0.758
Cr 0.252 0.252 0.252

## Properties
Its density of states at the Fermi level is 0.739 states/eV/atom. For the formation energy, the calculation gives 326.8 meV/atom. As for the raw total energy: -12.46 eV per formula unit.

---

No. 5
The following is a PBE-GGA calculation of a relaxed structure of Mg4ZnCr, from Alexandria.

Cell: 5.648 5.648 5.648 Å, 60.00 60.00 60.00°
Positions (direct):
Mg 0.125 0.125 0.125
Mg 0.125 0.125 0.625
Mg 0.125 0.625 0.125
Mg 0.625 0.125 0.125
Zn 0.750 0.750 0.750
Cr 0.500 0.500 0.500

## Properties
Its density of states at the Fermi level is 0.672 states/eV/atom. For the formation energy, the calculation gives 392.5 meV/atom. As for the raw total energy: -14.92 eV per formula unit.

---

No. 6
The following is a PBE-GGA calculation of a relaxed structure of Mg2ZnCr, from Alexandria.

Cell: 4.634 4.634 4.634 Å, 60.00 60.00 60.00°
Positions (direct):
Mg 0.000 0.000 0.000
Mg 0.250 0.250 0.250
Zn 0.500 0.500 0.500
Cr 0.750 0.750 0.750

## Properties
Its density of states at the Fermi level is 0.346 states/eV/atom. For the formation energy, the calculation gives 182.1 meV/atom. As for the raw total energy: -13.36 eV per formula unit.

---

No. 7
The following is a PBE-GGA calculation of a relaxed structure of MgZnCr2, from Alexandria.

Cell: 4.467 4.467 3.229 Å, 90.00 90.00 90.00°
Positions (direct):
Mg 0.000 0.000 0.000
Zn 0.500 0.500 0.000
Cr 0.000 0.500 0.500
Cr 0.500 0.000 0.500

## Properties
Its density of states at the Fermi level is 0.571 states/eV/atom. For the formation energy, the calculation gives 454.3 meV/atom. As for the raw total energy: -20.30 eV per formula unit.

---

No. 8
The following is a PBE-GGA calculation of a relaxed structure of MgZnCr, from Alexandria.

Cell: 4.496 4.496 2.903 Å, 90.00 90.00 120.00°
Positions (direct):
Mg 0.000 0.000 0.000
Zn 0.333 0.667 0.272
Cr 0.667 0.333 0.584

## Properties
Its density of states at the Fermi level is 0.571 states/eV/atom. For the formation energy, the calculation gives 301.5 meV/atom. As for the raw total energy: -11.59 eV per formula unit.

---

No. 9
The following is a PBE-GGA calculation of a relaxed structure of MgZnCr2, from Alexandria.

Cell: 2.535 4.385 5.038 Å, 90.00 103.46 90.00°
Positions (direct):
Mg 0.000 0.000 0.000
Zn 0.000 0.000 0.500
Cr 0.479 0.500 0.753
Cr 0.521 0.500 0.247

## Properties
Its density of states at the Fermi level is 0.681 states/eV/atom. For the formation energy, the calculation gives 412.6 meV/atom. As for the raw total energy: -20.46 eV per formula unit.

---

No. 10
The following is a PBE-GGA calculation of a relaxed structure of MgZn2Cr, from Alexandria.

Cell: 4.732 4.732 2.731 Å, 90.39 90.39 108.22°
Positions (direct):
Mg 0.000 0.000 0.000
Zn 0.000 0.500 0.500
Zn 0.500 0.000 0.500
Cr 0.500 0.500 0.000

## Properties
Its density of states at the Fermi level is 0.271 states/eV/atom. For the formation energy, the calculation gives 195.9 meV/atom. As for the raw total energy: -12.98 eV per formula unit.

---

No. 11
The following is a PBE-GGA calculation of a relaxed structure of Mg2ZnCr, from Alexandria.

Cell: 2.735 2.735 8.795 Å, 90.00 90.00 100.03°
Positions (direct):
Mg 0.000 0.000 0.241
Mg 0.000 0.000 0.759
Zn 0.500 0.500 0.500
Cr 0.500 0.500 0.000

## Properties
Its density of states at the Fermi level is 0.383 states/eV/atom. For the formation energy, the calculation gives 312.2 meV/atom. As for the raw total energy: -12.84 eV per formula unit.

---

No. 12
The following is a PBE-GGA calculation of a relaxed structure of MgZnCr, from Alexandria.

Cell: 6.806 6.699 2.649 Å, 80.97 76.42 22.61°
Positions (direct):
Mg 0.000 0.000 0.000
Zn 0.681 0.681 0.319
Cr 0.334 0.334 0.666

## Properties
Its density of states at the Fermi level is 0.619 states/eV/atom. For the formation energy, the calculation gives 331.4 meV/atom. As for the raw total energy: -11.50 eV per formula unit.

---

No. 13
The following is a PBE-GGA calculation of a relaxed structure of MgZnCr2, from Alexandria.

Cell: 5.072 5.072 5.072 Å, 144.59 127.09 65.29°
Positions (direct):
Mg 0.000 0.000 0.000
Zn 0.266 0.766 0.500
Cr 0.529 0.529 0.000
Cr 0.726 0.226 0.500

## Properties
Its density of states at the Fermi level is 0.600 states/eV/atom. For the formation energy, the calculation gives 280.0 meV/atom. As for the raw total energy: -21.00 eV per formula unit.

---

No. 14
The following is a PBE-GGA calculation of a relaxed structure of Mg14ZnCr, from Alexandria.

Cell: 10.238 6.242 6.242 Å, 60.21 90.00 90.00°
Positions (direct):
Mg 0.000 0.000 0.000
Mg 0.000 0.498 0.998
Mg 0.000 0.500 0.500
Mg 0.000 0.998 0.498
Mg 0.254 0.333 0.333
Mg 0.254 0.834 0.834
Mg 0.264 0.329 0.830
Mg 0.264 0.830 0.329
Mg 0.500 0.002 0.504
Mg 0.500 0.504 0.002
Mg 0.736 0.329 0.830
Mg 0.736 0.830 0.329
Mg 0.746 0.333 0.333
Mg 0.746 0.834 0.834
Zn 0.500 0.499 0.499
Cr 0.500 0.998 0.998

## Properties
Its density of states at the Fermi level is 0.290 states/eV/atom. For the formation energy, the calculation gives 56.9 meV/atom. As for the raw total energy: -32.31 eV per formula unit.

---

No. 15
The following is a PBE-GGA calculation of a relaxed structure of Mg2ZnCr, from Alexandria.

Cell: 3.232 3.232 6.998 Å, 90.00 90.00 90.00°
Positions (direct):
Mg 0.000 0.000 0.000
Mg 0.500 0.500 0.306
Zn 0.000 0.000 0.553
Cr 0.500 0.500 0.746

## Properties
Its density of states at the Fermi level is 0.574 states/eV/atom. For the formation energy, the calculation gives 191.4 meV/atom. As for the raw total energy: -13.32 eV per formula unit.

---

Spin magnetization, respectively: 0.00, 0.00, 3.97, 0.00, 4.57, 3.69, 7.13, 3.73, 0.00, 0.00, 0.00, 0.11, 0.05, 4.08, 3.54 μB/f.u..